The following is a DFT calculation (PBE-GGA) of TaFePd after structural relaxation.

The density of states at the Fermi level comes out at 2.152 states/eV/f.u. Its theoretical density is 11.9 g/cm³. As for the energy above the most stable polymorph in this dataset: 0 meV/atom. The calculated formation energy is -101.3 meV per atom.

The space group is I4/mmm (No. 139) and the conventional cell measures 3.087, 3.087 and 20.149 Å, with angles of 90.00, 90.00 and 90.00 degrees. The asymmetric unit holds Ta at (0.000, 0.000, 0.144), Fe at (0.000, 0.000, 0.282) and Pd at (0.000, 0.000, 0.436).